Here is crystalline AuCI at its relaxed geometry from Alexandria. Energies are from GGA-PBE.

abc: 3.952 11.274 3.899
angles: 90.00 120.83 90.00
Atoms (fractional coordinates):
I: 0.500 0.214 0.000
I: 0.500 0.714 0.500
Au: 0.000 0.446 0.000
Au: 0.000 0.946 0.500
C: 0.500 0.401 0.000
C: 0.500 0.901 0.500

Values from the calculation:
offset from the most stable computed form	70.4	kJ per mole of atoms
M_tot	0.0	μB/f.u.
density of states at the Fermi level	0.93	states/eV/f.u.
calculated total energy	-20.56	eV per cell
formation energy (no corrections)	3.77	eV per formula unit